Entry 1:
Y3Ag2Pd | PBE | optimized geometry

a = 3.594 Å, b = 3.594 Å, c = 10.882 Å
α = 90.00°, β = 90.00°, γ = 90.00°
Element x y z (fractional)
Y  0.000  0.000  0.343
Y  0.000  0.000  0.657
Pd  0.500  0.500  0.500
Ag  0.500  0.500  0.169
Y  0.000  0.000  0.000
Ag  0.500  0.500  0.831

Summary:
DOS at the Fermi energy = 0.7537 states/eV per atom
Symmetry = No. 123
Relative energy among the computed polymorphs = 0.000 eV per atom
Raw total energy = -5.5588 eV/atom
Energy of formation = -0.5109 eV/atom

Entry 2:
Y2AgPd4 | PBE | optimized geometry

a = 4.016 Å, b = 4.016 Å, c = 9.538 Å
α = 102.15°, β = 102.15°, γ = 90.00°
Element x y z (fractional)
Pd  0.146  0.146  0.292
Y  0.619  0.619  0.238
Y  0.381  0.381  0.762
Pd  0.750  0.250  0.500
Pd  0.854  0.854  0.708
Pd  0.250  0.750  0.500
Ag  0.000  0.000  0.000

Summary:
DOS at the Fermi energy = 0.3664 states/eV per atom
Symmetry = No. 139
Relative energy among the computed polymorphs = 0.000 eV per atom
Raw total energy = -5.8325 eV/atom
Energy of formation = -0.6109 eV/atom

Entry 3:
Y2AgPd5 | PBE | optimized geometry

a = 5.968 Å, b = 5.968 Å, c = 5.839 Å
α = 120.74°, β = 120.74°, γ = 90.02°
Element x y z (fractional)
Pd  0.722  0.722  0.944
Ag  0.222  0.222  0.444
Pd  0.722  0.222  0.944
Y  0.222  0.722  0.444
Pd  0.222  0.722  0.944
Pd  0.222  0.222  0.944
Pd  0.722  0.722  0.444
Y  0.722  0.222  0.444

Summary:
DOS at the Fermi energy = 0.2627 states/eV per atom
Symmetry = No. 139
Relative energy among the computed polymorphs = 0.000 eV per atom
Raw total energy = -6.0088 eV/atom
Energy of formation = -0.7909 eV/atom

Entry 4:
Y2AgPd2 | PBE | optimized geometry

a = 3.856 Å, b = 3.856 Å, c = 8.233 Å
α = 76.45°, β = 76.45°, γ = 90.00°
Element x y z (fractional)
Ag  0.000  0.000  0.000
Y  0.387  0.387  0.226
Pd  0.750  0.250  0.500
Y  0.613  0.613  0.774
Pd  0.250  0.750  0.500

Summary:
DOS at the Fermi energy = 0.3508 states/eV per atom
Symmetry = No. 139
Relative energy among the computed polymorphs = 0.252 eV per atom
Raw total energy = -5.7246 eV/atom
Energy of formation = -0.4916 eV/atom

Entry 5:
YAgPd | PBE | optimized geometry

a = 4.654 Å, b = 4.654 Å, c = 4.654 Å
α = 60.00°, β = 60.00°, γ = 60.00°
Element x y z (fractional)
Y  0.500  0.500  0.500
Ag  0.000  0.000  0.000
Pd  0.250  0.250  0.250

Summary:
DOS at the Fermi energy = 0.4674 states/eV per atom
Symmetry = No. 216
Relative energy among the computed polymorphs = 0.162 eV per atom
Raw total energy = -5.3008 eV/atom
Energy of formation = -0.4647 eV/atom

Entry 6:
YAg2Pd | PBE | optimized geometry

a = 4.798 Å, b = 4.075 Å, c = 4.075 Å
α = 90.00°, β = 90.00°, γ = 90.00°
Element x y z (fractional)
Pd  0.500  0.500  0.500
Y  0.500  0.000  0.000
Ag  0.000  0.000  0.500
Ag  0.000  0.500  0.000

Summary:
DOS at the Fermi energy = 0.5702 states/eV per atom
Symmetry = No. 123
Relative energy among the computed polymorphs = 0.114 eV per atom
Raw total energy = -4.6938 eV/atom
Energy of formation = -0.3540 eV/atom

> Number 5 is which compound?

YAgPd

> energy of formation of number 1 (Y3Ag2Pd)?

-0.5109 eV/atom